[1]
DFT (PBE) results for a relaxed structure of SiRh4W.

The structure in extended XYZ format:
```
6
Lattice="0.0000 3.5728 3.5728 3.5728 0.0000 3.5728 3.5728 3.5728 0.0000" Properties=species:S:1:pos:R:3 pbc="T T T"
Si 0.0000 0.0000 0.0000
Rh 2.6790 2.6790 2.6790
Rh 4.4665 4.4665 2.6790
Rh 4.4665 2.6790 4.4665
Rh 2.6790 4.4665 4.4665
W 5.3592 5.3592 5.3592
```

Properties
**VASP energy**: -7.5911 eV per atom
**Energy relative to the elements, uncorrected**: 0.373 eV/atom
**Crystal system**: cubic
**Total moment**: 0.00 μB per atom



[2]
DFT (PBE) results for a relaxed structure of Ca3Er2PaAs6.

The structure in extended XYZ format:
```
12
Lattice="3.6051 -6.2499 0.0000 3.6051 6.2499 0.0000 -2.4069 0.0000 6.8411" Properties=species:S:1:pos:R:3 pbc="T T T"
Ca 0.0000 0.0000 0.0000
Ca 3.6051 2.1082 0.0000
Ca 3.6051 -2.1082 0.0000
Er 2.4016 4.1676 3.4206
Er 2.4016 -4.1676 3.4206
Pa 2.4016 0.0000 3.4206
As 1.2195 2.0521 1.8254
As 0.0342 0.0000 5.0157
As 1.2195 -2.0521 1.8254
As 3.5837 2.0521 5.0158
As 4.7690 0.0000 1.8254
As 3.5837 -2.0521 5.0158
```

Properties
**Formation enthalpy at 0 K**: -1.257 eV/atom
**VASP energy**: -5.6337 eV per atom
**Crystal system**: monoclinic
**Total moment**: 0.00 μB per atom



[3]
DFT (PBE) results for a relaxed structure of Sr2TbPaN4.

The structure in extended XYZ format:
```
8
Lattice="6.1866 0.0000 0.0000 0.0000 3.6316 0.0000 -2.0430 0.0000 6.0260" Properties=species:S:1:pos:R:3 pbc="T T T"
Sr 0.0000 0.0000 0.0000
Sr 3.0933 1.8158 0.0000
Tb -1.0215 1.8158 3.0130
Pa 2.0718 0.0000 3.0130
N 0.1417 0.0000 4.2471
N 1.1073 1.8158 1.7823
N 3.0364 1.8158 4.2438
N 4.0020 0.0000 1.7789
```

Properties
**VASP energy**: -7.7107 eV per atom
**Energy relative to the elements, uncorrected**: -1.362 eV/atom
**Crystal system**: monoclinic
**Total moment**: 0.00 μB per atom



[4]
DFT (PBE) results for a relaxed structure of K2HgRh3O8.

The structure in extended XYZ format:
```
14
Lattice="3.1876 1.8404 6.3206 -3.1876 1.8404 6.3206 0.0000 -3.6808 6.3206" Properties=species:S:1:pos:R:3 pbc="T T T"
K 0.0000 0.0000 0.0000
K 0.0000 0.0000 6.7690
Hg 0.0000 0.0000 10.6480
Rh -1.6108 -0.9300 15.6890
Rh 1.6108 -0.9300 15.6890
Rh 0.0000 1.8600 15.6890
O -1.8522 -1.0693 10.4782
O 0.0000 0.0000 4.0671
O 0.0000 -2.0175 8.4263
O -1.7472 1.0088 8.4263
O 1.8522 -1.0693 10.4781
O 0.0000 2.1387 10.4781
O 0.0000 0.0000 14.7348
O 1.7472 1.0088 8.4263
```

Properties
**VASP energy**: -5.4309 eV per atom
**Energy relative to the elements, uncorrected**: -0.844 eV/atom
**Crystal system**: trigonal
**Total moment**: 0.02 μB per atom



[5]
DFT (PBE) results for a relaxed structure of CeAg4Pd.

The structure in extended XYZ format:
```
6
Lattice="0.0000 3.9077 3.9077 3.9077 0.0000 3.9077 3.9077 3.9077 0.0000" Properties=species:S:1:pos:R:3 pbc="T T T"
Ce 0.0000 0.0000 0.0000
Ag 2.9355 2.9355 2.9355
Ag 4.8798 4.8798 2.9355
Ag 4.8798 2.9355 4.8798
Ag 2.9355 4.8798 4.8798
Pd 5.8615 5.8615 5.8615
```

Properties
**Formation enthalpy at 0 K**: -0.149 eV/atom
**VASP energy**: -3.9038 eV per atom
**Crystal system**: cubic
**Total moment**: 0.22 μB per atom



[6]
DFT (PBE) results for a relaxed structure of DyInNi.

The structure in extended XYZ format:
```
3
Lattice="4.5370 0.0000 0.0000 -2.2685 3.9291 0.0000 0.0000 0.0000 3.5676" Properties=species:S:1:pos:R:3 pbc="T T T"
Dy 0.0000 0.0000 0.0000
In 2.2685 1.3097 1.7838
Ni 0.0000 2.6194 1.7838
```

Properties
**Formation enthalpy at 0 K**: -0.370 eV/atom
**VASP energy**: -4.7441 eV per atom
**Crystal system**: hexagonal
**Total moment**: 0.00 μB per atom



[7]
DFT (PBE) results for a relaxed structure of InAs5.

The structure in extended XYZ format:
```
6
Lattice="5.4154 0.0000 0.0000 0.0000 2.4382 5.2050 0.0000 -2.4382 5.2050" Properties=species:S:1:pos:R:3 pbc="T T T"
In 0.0000 0.0000 0.0000
As 0.0000 0.0000 3.1185
As 0.0000 0.0000 6.9201
As 2.7077 0.0000 3.3557
As 2.7077 0.0000 7.2760
As 2.7077 0.0000 9.8019
```

Properties
**Formation enthalpy at 0 K**: 0.173 eV/atom
**Relative energy among the computed polymorphs**: 0.0361 eV/atom
**VASP energy**: -4.1582 eV per atom
**Crystal system**: orthorhombic
**Total moment**: 0.00 μB per atom



[8]
DFT (PBE) results for a relaxed structure of KFeCl4.

The structure in extended XYZ format:
```
6
Lattice="0.0000 4.2979 4.2979 4.2979 0.0000 4.2979 4.2979 4.2979 0.0000" Properties=species:S:1:pos:R:3 pbc="T T T"
K 0.0000 0.0000 0.0000
Fe 2.1490 2.1490 2.1490
Cl 5.3662 3.2297 3.2297
Cl 3.2297 5.3662 3.2297
Cl 3.2297 3.2297 5.3662
Cl 5.3662 5.3662 5.3662
```

Properties
**Relative energy among the computed polymorphs**: 1.4860 eV/atom
**VASP energy**: -2.5709 eV per atom
**Energy relative to the elements, uncorrected**: 0.254 eV/atom
**Crystal system**: cubic
**Total moment**: 0.90 μB per atom



[9]
DFT (PBE) results for a relaxed structure of PmZn3Cu8.

The structure in extended XYZ format:
```
12
Lattice="4.9743 0.0000 0.0000 -2.4871 4.3078 0.0000 0.0000 0.0000 8.1300" Properties=species:S:1:pos:R:3 pbc="T T T"
Pm 0.0000 0.0000 0.0000
Zn 0.0000 0.0000 3.2168
Zn 2.4871 1.4359 3.9368
Zn 2.4871 1.4359 6.6431
Cu 0.0000 1.4245 5.4948
Cu -1.2535 3.5956 5.4948
Cu 0.0000 2.8719 3.5274
Cu 0.0000 2.8719 7.5843
Cu 2.4871 0.0272 1.6116
Cu 1.2671 2.1403 1.6116
Cu 1.2535 3.5956 5.4948
Cu 3.7071 2.1403 1.6116
```

Properties
**Formation enthalpy at 0 K**: -0.064 eV/atom
**VASP energy**: -3.5090 eV per atom
**Crystal system**: trigonal
**Total moment**: 0.00 μB per atom



[10]
DFT (PBE) results for a relaxed structure of Y6ZnAg5.

The structure in extended XYZ format:
```
12
Lattice="2.5775 -7.7203 0.0000 2.5775 7.7203 0.0000 0.0000 0.0000 7.2384" Properties=species:S:1:pos:R:3 pbc="T T T"
Y 0.0000 0.0000 1.7963
Y 0.0000 0.0000 5.4421
Y 2.5775 2.5596 1.8015
Y 2.5775 2.5596 5.4369
Y 2.5775 -2.5596 1.8015
Y 2.5775 -2.5596 5.4369
Zn 2.5775 0.0000 0.0000
Ag 2.5775 5.1752 0.0000
Ag 2.5775 5.1367 3.6192
Ag 2.5775 0.0000 3.6192
Ag 2.5775 -5.1367 3.6192
Ag 2.5775 -5.1752 0.0000
```

Properties
**Formation enthalpy at 0 K**: -0.335 eV/atom
**VASP energy**: -4.8609 eV per atom
**Crystal system**: orthorhombic
**Total moment**: 0.00 μB per atom